Below is a relaxed structure of YZr2Ag, with properties calculated at the GGA-PBEsol level.

Structure (POSCAR):
```
YZr2Ag
1.0
1.6185 0.9344 9.9406
-1.6185 0.9344 9.9406
0.0000 -1.8689 9.9406
Y Zr Ag
1 2 1
Direct
0.0000 0.0000 0.0000
0.5059 0.5059 0.5059
0.7572 0.7572 0.7572
0.2501 0.2501 0.2501
```

Computed properties:
Its energy above the most stable polymorph in this dataset is 154 meV per atom. As for the density of states at the Fermi level: 1.204 states/eV/atom. The electronic total energy comes out at -7.005 eV per atom. Its formation enthalpy at 0 K is 0.07 eV per atom. The calculation puts the density at 7.0 Mg/m³.